# 1
Material: Na2YAlF8
Method: DFT, PBE
State: optimized geometry

Lattice parameters (Å, degrees): 5.0073 6.5723 5.1050 90.00 91.21 90.00
Sites, in units of the cell vectors:
Na 0.0000 0.2290 0.0000
Na 0.0000 0.7710 0.0000
Y 0.5000 0.5000 0.5000
Al 0.5000 0.0000 0.5000
F 0.1955 0.5000 0.2023
F 0.2467 0.0000 0.2494
F 0.3247 0.2136 0.6731
F 0.3247 0.7864 0.6731
F 0.6753 0.2136 0.3269
F 0.6753 0.7864 0.3269
F 0.7533 0.0000 0.7506
F 0.8045 0.5000 0.7977

Summary:
The energy is -5.770 eV per atom.

# 2
Material: PrSm2Te
Method: DFT, PBE
State: optimized geometry

Lattice parameters (Å, degrees): 3.9984 3.9984 29.9419 90.00 90.00 120.00
Sites, in units of the cell vectors:
Pr 0.0000 0.0000 0.0000
Pr 0.3333 0.6667 0.6667
Pr 0.6667 0.3333 0.3333
Sm 0.0000 0.0000 0.5707
Sm 0.0000 0.0000 0.7636
Sm 0.3333 0.6667 0.2373
Sm 0.3333 0.6667 0.4303
Sm 0.6667 0.3333 0.0969
Sm 0.6667 0.3333 0.9040
Te 0.0000 0.0000 0.1672
Te 0.3333 0.6667 0.8338
Te 0.6667 0.3333 0.5005

Summary:
The energy is -4.903 eV per atom. The calculation puts the energy relative to the lowest polymorph listed for this composition at 123.8 meV/atom.

# 3
Material: PmSiOs2C
Method: DFT, PBE
State: optimized geometry

Lattice parameters (Å, degrees): 5.9017 5.9017 7.1842 90.00 90.00 140.81
Sites, in units of the cell vectors:
Pm 0.0490 0.9510 0.7500
Pm 0.9510 0.0490 0.2500
Si 0.2298 0.7702 0.2500
Si 0.7702 0.2298 0.7500
Os 0.3340 0.6660 0.5594
Os 0.3340 0.6660 0.9406
Os 0.6660 0.3340 0.0594
Os 0.6660 0.3340 0.4406
C 0.5000 0.5000 0.0000
C 0.5000 0.5000 0.5000

Summary:
The energy is -8.865 eV per atom.

# 4
Material: Tb2In9Hg
Method: DFT, PBE
State: optimized geometry

Lattice parameters (Å, degrees): 4.6168 4.6168 14.4934 90.00 90.00 90.00
Sites, in units of the cell vectors:
Tb 0.0000 0.0000 0.1593
Tb 0.0000 0.0000 0.8407
In 0.0000 0.5000 0.0000
In 0.0000 0.5000 0.3279
In 0.0000 0.5000 0.6721
In 0.5000 0.0000 0.0000
In 0.5000 0.0000 0.3279
In 0.5000 0.0000 0.6721
In 0.5000 0.5000 0.1620
In 0.5000 0.5000 0.5000
In 0.5000 0.5000 0.8380
Hg 0.0000 0.0000 0.5000

Summary:
The energy is -3.096 eV per atom. Its formation enthalpy at 0 K is -0.2456 eV/atom.